Computed, not measured: crystalline HfScWO6 at its relaxed geometry at the GGA+U level of DFT.

CIF file:
```
data_HfScWO6
_chemical_formula_sum 'Hf2 Sc2 W2 O12'
_symmetry_space_group_name_H-M 'P 42 n m'
_symmetry_Int_Tables_number 102
_cell_length_a 4.800
_cell_length_b 4.800
_cell_length_c 9.660
_cell_angle_alpha 90.00
_cell_angle_beta 90.00
_cell_angle_gamma 90.00
loop_
_symmetry_equiv_pos_as_xyz
'x,y,z'
'-y+1/2,x+1/2,z+1/2'
'-x,-y,z'
'y+1/2,-x+1/2,z+1/2'
'-x+1/2,y+1/2,z+1/2'
'y,x,z'
'x+1/2,-y+1/2,z+1/2'
'-y,-x,z'
loop_
_atom_site_label
_atom_site_type_symbol
_atom_site_fract_x
_atom_site_fract_y
_atom_site_fract_z
Hf1 Hf 0.000 0.000 0.000
Sc1 Sc 0.000 0.000 0.338
W1 W 0.000 0.000 0.669
O1 O 0.191 0.191 0.832
O2 O 0.195 0.195 0.508
O3 O 0.209 0.209 0.165
```

Results
raw total energy = -79.92 eV per formula unit
D(E_F) = 0.0000 states/eV/atom